Ta2WAu after structural relaxation, computed with PBE.

Values from the calculation:
As for the calculated total energy: -9.70 eV per atom. As for the symmetry: R3m, No. 160.

Cell lengths 10.116, 10.116, 10.116 Å; angles 16.28, 16.28, 16.28 degrees
Sites, in units of the cell vectors:
Ta  0.000  0.000  0.000
Ta  0.246  0.246  0.246
W  0.496  0.496  0.496
Au  0.749  0.749  0.749

KBeCu after structural relaxation, computed with PBE.

Values from the calculation:
As for the calculated total energy: -1.92 eV per atom. As for the symmetry: F-43m, No. 216.

Cell lengths 4.742, 4.742, 4.742 Å; angles 60.00, 60.00, 60.00 degrees
Sites, in units of the cell vectors:
K  0.000  0.000  0.000
Be  0.500  0.500  0.500
Cu  0.750  0.750  0.750

PaGa2Hg after structural relaxation, computed with PBE.

Values from the calculation:
As for the calculated total energy: -4.15 eV per atom. As for the symmetry: P4/mmm, No. 123.

Cell lengths 4.533, 4.533, 4.174 Å; angles 90.00, 90.00, 90.00 degrees
Sites, in units of the cell vectors:
Pa  0.000  0.000  0.000
Ga  0.000  0.500  0.500
Ga  0.500  0.000  0.500
Hg  0.500  0.500  0.000

Dy8Ag3Sb2 after structural relaxation, computed with PBE.

Values from the calculation:
As for the symmetry: C2/m, No. 12. The formation energy without anion corrections comes out at -0.294 eV per atom.

Cell lengths 8.460, 8.460, 6.151 Å; angles 90.94, 90.94, 59.07 degrees
Sites, in units of the cell vectors:
Dy  0.089  0.089  0.355
Dy  0.093  0.677  0.145
Dy  0.319  0.319  0.596
Dy  0.323  0.907  0.855
Dy  0.677  0.093  0.145
Dy  0.681  0.681  0.404
Dy  0.907  0.323  0.855
Dy  0.911  0.911  0.645
Ag  0.328  0.672  0.500
Ag  0.500  0.500  0.000
Ag  0.672  0.328  0.500
Sb  0.263  0.263  0.086
Sb  0.737  0.737  0.914

SmB2 after structural relaxation, computed with PBE.

Values from the calculation:
As for the calculated total energy: -6.33 eV per atom. As for the symmetry: C2/m, No. 12.

Cell lengths 3.855, 3.855, 3.151 Å; angles 103.17, 103.17, 89.48 degrees
Sites, in units of the cell vectors:
Sm  0.000  0.000  0.000
B  0.472  0.472  0.734
B  0.528  0.528  0.266

AgAs3Cl after structural relaxation, computed with PBE.

Values from the calculation:
As for the symmetry: Pm-3m, No. 221. The formation energy without anion corrections comes out at 1.111 eV per atom.

Cell lengths 4.906, 4.906, 4.906 Å; angles 90.00, 90.00, 90.00 degrees
Sites, in units of the cell vectors:
Ag  0.000  0.000  0.000
As  0.000  0.500  0.500
As  0.500  0.000  0.500
As  0.500  0.500  0.000
Cl  0.500  0.500  0.500

D(E_F) for the records above, in order: 3.50, 1.67, 4.75, 15.12, 1.45, 4.82 states/eV per cell